Here is an optimized crystal structure of PrMgPt from the Open Quantum Materials Database. Energies are from PBE.

The space group is P-62m (No. 189) and the conventional cell measures 7.5159, 7.5159 and 4.1944 Å, with angles of 90.00, 90.00 and 120.00 degrees. The distinct sites, in fractional coordinates, are Pr at (0.0000, 0.5873, 0.0000), Mg at (0.0000, 0.2397, 0.5000), Pt at (0.0000, 0.0000, 0.0000) and Pt at (0.3333, 0.6667, 0.5000).

Its total energy is -45.1 eV for the cell shown. As for the total moment: 0.001 μB per formula unit.

=====

Here is an optimized crystal structure of Lu2N3 from the Open Quantum Materials Database. Energies are from PBE.

The space group is Fddd (No. 70, origin choice 2) and the conventional cell measures 6.7167, 9.4970 and 20.0972 Å, with angles of 90.00, 90.00 and 90.00 degrees. The distinct sites, in fractional coordinates, are Lu at (0.1250, 0.1250, 0.0347), Lu at (0.1250, 0.1250, 0.3851), N at (0.0887, 0.3750, 0.3750) and N at (0.0977, 0.3572, 0.2000).

Its total energy is -578.0 eV for the cell shown. As for the total moment: 2.987 μB per formula unit.

=====

Here is an optimized crystal structure of NaZrAsO from the Open Quantum Materials Database. Energies are from PBE.

The space group is Pmc2_1 (No. 26) and the conventional cell measures 3.7194, 7.0071 and 6.2955 Å, with angles of 90.00, 90.00 and 90.00 degrees. The distinct sites, in fractional coordinates, are Na at (0.0000, 0.1201, 0.0000), Zr at (0.5000, 0.4887, 0.7123), As at (0.0000, 0.2945, 0.4568) and O at (0.5000, 0.3068, 0.9683).

Its total energy is -52.0 eV for the cell shown. As for the total moment: 0.002 μB per formula unit. The energy above the most stable polymorph in this dataset comes out at 0.0 kJ per mole of atoms.

=====

Here is an optimized crystal structure of DyAgAsO from the Open Quantum Materials Database. Energies are from PBE.

The space group is P4/nmm (No. 129, origin choice 2) and the conventional cell measures 3.9575, 3.9575 and 9.2911 Å, with angles of 90.00, 90.00 and 90.00 degrees. The distinct sites, in fractional coordinates, are Dy at (0.2500, 0.2500, 0.1161), Ag at (0.2500, 0.7500, 0.5000), As at (0.2500, 0.2500, 0.6980) and O at (0.2500, 0.7500, 0.0000).

Its total energy is -47.0 eV for the cell shown. As for the total moment: 0.003 μB per formula unit. The energy above the most stable polymorph in this dataset comes out at 0.0 kJ per mole of atoms.

=====

Here is an optimized crystal structure of Sr2Pd from the Open Quantum Materials Database. Energies are from PBE.

The space group is Fd-3m (No. 227, origin choice 2) and the conventional cell measures 13.0506, 13.0506 and 13.0506 Å, with angles of 90.00, 90.00 and 90.00 degrees. The distinct sites, in fractional coordinates, are Sr at (0.0000, 0.0000, 0.0000) and Pd at (0.1250, 0.1250, 0.1250).

Its total energy is -62.4 eV for the cell shown.

=====

Here is an optimized crystal structure of LiLu2Os from the Open Quantum Materials Database. Energies are from PBE.

The space group is F-43m (No. 216) and the conventional cell measures 6.7079, 6.7079 and 6.7079 Å, with angles of 90.00, 90.00 and 90.00 degrees. The distinct sites, in fractional coordinates, are Li at (0.0000, 0.0000, 0.0000), Lu at (0.0000, 0.0000, 0.5000), Lu at (0.2500, 0.2500, 0.7500) and Os at (0.2500, 0.2500, 0.2500).

Its total energy is -86.1 eV for the cell shown. As for the total moment: 0.004 μB per formula unit. The energy above the most stable polymorph in this dataset comes out at 7.9 kJ per mole of atoms.

=====

Here is an optimized crystal structure of Sc4CuSbC2 from the Open Quantum Materials Database. Energies are from PBE.

The space group is P-6m2 (No. 187) and the conventional cell measures 3.3970, 3.3970 and 13.6384 Å, with angles of 90.00, 90.00 and 120.00 degrees. The distinct sites, in fractional coordinates, are Sc at (0.0000, 0.0000, 0.1481), Sc at (0.6667, 0.3333, 0.3245), Cu at (0.6667, 0.3333, 0.0000), Sb at (0.0000, 0.0000, 0.5000) and C at (0.3333, 0.6667, 0.2377).

Its total energy is -55.7 eV for the cell shown. As for the total moment: 0.011 μB per formula unit.

=====

Here is an optimized crystal structure of Pr2GePt from the Open Quantum Materials Database. Energies are from PBE.

The space group is Pmn2_1 (No. 31) and the conventional cell measures 4.4201, 7.7833 and 5.9615 Å, with angles of 90.00, 90.00 and 90.00 degrees. The distinct sites, in fractional coordinates, are Pr at (0.0000, 0.0595, 0.0000), Pr at (0.0000, 0.5826, 0.7683), Ge at (0.0000, 0.7053, 0.2765) and Pt at (0.0000, 0.2075, 0.4953).

Its total energy is -48.1 eV for the cell shown. As for the total moment: 0.001 μB per formula unit.

=====

Here is an optimized crystal structure of Gd2DyCd3CuAu2 from the Open Quantum Materials Database. Energies are from PBE.

The space group is Amm2 (No. 38) and the conventional cell measures 3.8768, 13.4013 and 7.7575 Å, with angles of 90.00, 90.00 and 90.00 degrees. The distinct sites, in fractional coordinates, are Gd at (0.0000, 0.2032, 0.0000), Dy at (0.0000, 0.0000, 0.3904), Cd at (0.5000, 0.0000, 0.0426), Cd at (0.5000, 0.1225, 0.6736), Cu at (0.0000, 0.0000, 0.7961) and Au at (0.5000, 0.1657, 0.2974).

The value obtained for the formation energy from the elements is -576 meV per atom. Its total energy is -64.1 eV for the cell shown. As for the total moment: 0.015 μB per formula unit.